Ba3La2C5O15F2: single point on PBEsol structure, SCAN.

Computed properties:
Its volume is 13.2 Å³ per atom. The value obtained for the uncorrected formation energy is -2.683 eV/atom. The calculation puts the magnetization at 0.0 μB/f.u. For the density of states at the Fermi level, the calculation gives 0.0000 states/eV/atom.

Cell lengths 21.3964, 5.0891, 13.1565 Å; angles 90.00, 94.66, 90.00 degrees
Last column: nearest neighbours and their distance in Å.
Space group C2/m (No. 12)
Unique sites:
1 Ba 0.0000 0.0000 0.0000  12 O 2.94-2.98
2 Ba 0.0000 0.5000 0.5000  6 O 2.83-2.89, 6 F 2.96-3.00
3 Ba 0.1863 0.0000 0.5954  7 O 2.71-2.90, 3 F 2.72-2.88
4 Ba 0.1925 0.5000 0.1009  11 O 2.67-2.99
5 La 0.0999 0.0000 0.3154  1 F 2.36, 5 O 2.46-2.64
6 La 0.1052 0.5000 0.7878  1 F 2.38, 7 O 2.48-2.64
7 C 0.0414 0.0000 0.7000  3 O 1.29-1.30
8 C 0.0483 0.5000 0.1459  3 O 1.29
9 C 0.1503 0.0000 0.9613  3 O 1.28-1.30
10 C 0.1607 0.5000 0.4027  3 O 1.29-1.30
11 C 0.2459 0.5000 0.7755  3 O 1.29-1.30
12 O 0.0101 0.5000 0.8871  1 C 1.29
13 O 0.0122 0.2203 0.6860  1 C 1.29
14 O 0.0781 0.2796 0.1588  1 C 1.29
15 O 0.0999 0.0000 0.7345  1 C 1.30
16 O 0.1018 0.5000 0.3689  1 C 1.30
17 O 0.1210 0.2198 0.9421  1 C 1.30
18 O 0.1896 0.2787 0.4162  1 C 1.29
19 O 0.1938 0.0000 0.2199  1 C 1.29
20 O 0.2062 0.0000 0.0050  1 C 1.28
21 O 0.2148 0.2814 0.7754  1 C 1.30
22 F 0.0730 0.0000 0.4859  1 La 2.36
23 F 0.1254 0.5000 0.6122  1 La 2.38